1.
Below is a geometry-optimized BeCd3Tc structure, with properties calculated at the PBE level.

Properties
As for the distance to the lowest polymorph of the same formula: 0 meV/atom. For the energy of formation, the calculation gives 871 meV/atom.

abc: 4.573 4.573 4.573
angles: 90.00 90.00 90.00
Last column: magnetic moment on the atom in μB.
Fractional positions:
1 Cd 0.000 0.500 0.000  -0.01
2 Cd 0.000 0.000 0.500  -0.01
3 Cd 0.500 0.000 0.000  -0.02
4 Tc 0.500 0.500 0.500  2.54
5 Be 0.000 0.000 0.000  0.06

2.
Below is a geometry-optimized Sm6Mg5Sn structure, with properties calculated at the PBE level.

Properties
For the energy of formation, the calculation gives -222 meV/atom.

abc: 5.433 7.648 8.619
angles: 90.00 71.60 90.00
Fractional positions:
1 Mg 0.334 0.500 0.333
2 Mg 0.666 0.500 0.667
3 Mg 0.000 0.500 0.000
4 Mg 0.672 0.000 0.656
5 Mg 0.328 0.000 0.344
6 Sm 0.165 0.748 0.669
7 Sm 0.500 0.248 0.000
8 Sm 0.835 0.252 0.331
9 Sm 0.835 0.748 0.331
10 Sm 0.165 0.252 0.669
11 Sm 0.500 0.752 0.000
12 Sn 0.000 0.000 0.000

3.
Below is a geometry-optimized VCrSbI2 structure, with properties calculated at the PBE level.

Properties
As for the distance to the lowest polymorph of the same formula: 416 meV/atom. The uncorrected formation energy comes out at 1.03 eV per atom.

abc: 5.424 5.424 5.267
angles: 90.00 90.00 90.00
Last column: magnetic moment on the atom in μB.
Fractional positions:
1 I 0.000 0.500 0.000  -0.04
2 I 0.500 0.000 0.000  -0.04
3 Sb 0.000 0.000 0.500  -0.27
4 Cr 0.000 0.000 0.000  3.26
5 V 0.500 0.500 0.500  0.37

4.
Below is a geometry-optimized KScNi2Bi structure, with properties calculated at the PBE level.

Properties
For the energy of formation, the calculation gives 995 meV/atom.

abc: 4.907 5.872 4.907
angles: 90.00 90.00 90.00
Last column: magnetic moment on the atom in μB.
Fractional positions:
1 Ni 0.000 0.000 0.500  -0.03
2 Ni 0.500 0.000 0.000  -0.04
3 Sc 0.500 0.500 0.500  0.70
4 K 0.000 0.500 0.000  0.03
5 Bi 0.000 0.000 0.000  -0.01

5.
Below is a geometry-optimized RbTl3B structure, with properties calculated at the PBE level.

Properties
As for the distance to the lowest polymorph of the same formula: 0 meV/atom. For the energy of formation, the calculation gives 576 meV/atom.

abc: 5.335 5.335 5.335
angles: 90.00 90.00 90.00
Fractional positions:
1 B 0.000 0.000 0.000
2 Rb 0.500 0.500 0.500
3 Tl 0.000 0.000 0.500
4 Tl 0.500 0.000 0.000
5 Tl 0.000 0.500 0.000

6.
Below is a geometry-optimized Ce2CO structure, with properties calculated at the PBE level.

Properties
As for the distance to the lowest polymorph of the same formula: 0 meV/atom. The uncorrected formation energy comes out at -1.58 eV per atom.

abc: 5.087 5.087 10.230
angles: 90.00 90.00 90.00
Fractional positions:
1 O 0.250 0.500 0.625
2 O 0.250 0.000 0.875
3 O 0.750 0.000 0.125
4 O 0.750 0.500 0.375
5 C 0.750 0.500 0.875
6 C 0.250 0.000 0.375
7 C 0.250 0.500 0.125
8 C 0.750 0.000 0.625
9 Ce 0.750 0.000 0.375
10 Ce 0.250 0.000 0.125
11 Ce 0.250 0.500 0.875
12 Ce 0.750 0.500 0.625
13 Ce 0.750 0.500 0.125
14 Ce 0.250 0.000 0.625
15 Ce 0.750 0.000 0.875
16 Ce 0.250 0.500 0.375

7.
Below is a geometry-optimized TlZnCl structure, with properties calculated at the PBE level.

Properties
As for the distance to the lowest polymorph of the same formula: 71 meV/atom. The uncorrected formation energy comes out at -0.28 eV per atom.

abc: 5.059 5.059 5.059
angles: 60.00 60.00 60.00
Fractional positions:
1 Tl 0.500 0.500 0.500
2 Zn 0.250 0.250 0.250
3 Cl 0.000 0.000 0.000

8.
Below is a geometry-optimized Hf2Be16Ga structure, with properties calculated at the PBE level.

Properties
For the energy of formation, the calculation gives -208 meV/atom.

abc: 5.718 5.718 5.718
angles: 82.92 82.92 82.92
Fractional positions:
1 Be 0.297 0.001 0.704
2 Be 0.297 0.704 0.001
3 Be 0.167 0.652 0.652
4 Be 0.704 0.297 0.001
5 Be 0.839 0.343 0.343
6 Be 0.343 0.839 0.343
7 Be 0.004 0.004 0.491
8 Be 0.343 0.343 0.839
9 Be 0.704 0.001 0.297
10 Be 0.652 0.167 0.652
11 Be 0.001 0.297 0.704
12 Be 0.103 0.103 0.103
13 Be 0.004 0.491 0.004
14 Be 0.652 0.652 0.167
15 Be 0.001 0.704 0.297
16 Be 0.491 0.004 0.004
17 Hf 0.657 0.657 0.657
18 Hf 0.338 0.338 0.338
19 Ga 0.903 0.903 0.903

9.
Below is a geometry-optimized LiCe4Pa3N8 structure, with properties calculated at the PBE level.

Properties
The uncorrected formation energy comes out at -1.44 eV per atom.

abc: 7.011 7.069 7.011
angles: 119.73 120.00 90.00
Last column: magnetic moment on the atom in μB.
Fractional positions:
1 Ce 0.000 0.000 0.000  0.39
2 Ce 0.500 0.000 0.500  0.39
3 Ce 0.000 0.000 0.500  0.39
4 Ce 0.500 0.000 0.000  0.08
5 N 0.254 0.731 0.507  -0.01
6 N 0.276 0.269 0.023  -0.01
7 N 0.258 0.275 0.517  -0.02
8 N 0.746 0.269 0.023  -0.01
9 N 0.746 0.269 0.493  -0.01
10 N 0.742 0.725 0.483  -0.02
11 N 0.254 0.731 0.977  -0.01
12 N 0.724 0.731 0.977  -0.01
13 Pa 0.000 0.500 0.500  0.08
14 Pa 0.500 0.500 0.500  0.08
15 Pa 0.500 0.500 0.000  0.08
16 Li 0.000 0.500 0.000  0.00

10.
Below is a geometry-optimized NpZnGaGe structure, with properties calculated at the PBE level.

Properties
For the energy of formation, the calculation gives 19 meV/atom.

abc: 4.770 4.770 4.770
angles: 60.00 60.00 60.00
Last column: magnetic moment on the atom in μB.
Fractional positions:
1 Zn 0.500 0.500 0.500  -0.03
2 Ge 0.250 0.250 0.250  0.01
3 Ga 0.750 0.750 0.750  0.00
4 Np 0.000 0.000 0.000  3.71

11.
Below is a geometry-optimized PmHfGa4 structure, with properties calculated at the PBE level.

Properties
As for the distance to the lowest polymorph of the same formula: 174 meV/atom. For the energy of formation, the calculation gives -229 meV/atom.

abc: 3.998 3.998 10.173
angles: 78.95 78.95 60.59
Fractional positions:
1 Pm 0.500 0.500 0.500
2 Ga 0.093 0.093 0.713
3 Ga 0.611 0.611 0.165
4 Ga 0.907 0.907 0.287
5 Ga 0.389 0.389 0.835
6 Hf 0.000 0.000 0.000

12.
Below is a geometry-optimized TlTcSb2 structure, with properties calculated at the PBE level.

Properties
As for the distance to the lowest polymorph of the same formula: 321 meV/atom. The uncorrected formation energy comes out at 0.34 eV per atom.

abc: 3.279 3.279 8.625
angles: 90.00 90.00 90.00
Fractional positions:
1 Sb 0.000 0.000 0.006
2 Sb 0.500 0.500 0.312
3 Tc 0.000 0.000 0.480
4 Tl 0.500 0.500 0.701

13.
Below is a geometry-optimized ErZrGaRu structure, with properties calculated at the PBE level.

Properties
For the energy of formation, the calculation gives -446 meV/atom.

abc: 4.796 4.796 4.796
angles: 60.00 60.00 60.00
Fractional positions:
1 Ga 0.000 0.000 0.000
2 Ru 0.500 0.500 0.500
3 Er 0.750 0.750 0.750
4 Zr 0.250 0.250 0.250

14.
Below is a geometry-optimized Os2C structure, with properties calculated at the PBE level.

Properties
As for the distance to the lowest polymorph of the same formula: 351 meV/atom. For the energy of formation, the calculation gives 855 meV/atom.

abc: 5.240 5.240 5.614
angles: 65.01 65.01 30.43
Fractional positions:
1 Os 0.135 0.135 0.485
2 Os 0.856 0.856 0.034
3 Os 0.144 0.144 0.966
4 Os 0.865 0.865 0.515
5 C 0.544 0.544 0.268
6 C 0.456 0.456 0.732

15.
Below is a geometry-optimized Pr3HoIr3 structure, with properties calculated at the PBE level.

Properties
For the energy of formation, the calculation gives -534 meV/atom.

abc: 7.323 7.323 6.869
angles: 81.20 81.20 82.74
Fractional positions:
1 Ho 0.211 0.211 0.048
2 Ho 0.789 0.789 0.952
3 Ir 0.497 0.998 0.762
4 Ir 0.947 0.947 0.212
5 Ir 0.503 0.002 0.238
6 Ir 0.998 0.497 0.762
7 Ir 0.002 0.503 0.238
8 Ir 0.053 0.053 0.788
9 Pr 0.279 0.721 0.000
10 Pr 0.721 0.279 0.000
11 Pr 0.808 0.192 0.500
12 Pr 0.297 0.297 0.505
13 Pr 0.192 0.808 0.500
14 Pr 0.703 0.703 0.495

16.
Below is a geometry-optimized Na2AlHgBr6 structure, with properties calculated at the PBE level.

Properties
The uncorrected formation energy comes out at -0.91 eV per atom.

abc: 7.734 7.734 7.734
angles: 60.00 60.00 60.00
Fractional positions:
1 Br 0.232 0.768 0.232
2 Br 0.232 0.232 0.768
3 Br 0.768 0.768 0.232
4 Br 0.768 0.232 0.232
5 Br 0.232 0.768 0.768
6 Br 0.768 0.232 0.768
7 Hg 0.500 0.500 0.500
8 Na 0.750 0.750 0.750
9 Na 0.250 0.250 0.250
10 Al 0.000 0.000 0.000

17.
Below is a geometry-optimized BaSr2LaAl structure, with properties calculated at the PBE level.

Properties
For the energy of formation, the calculation gives 498 meV/atom.

abc: 6.514 5.831 6.514
angles: 90.00 90.00 90.00
Fractional positions:
1 Sr 0.500 0.000 0.000
2 Sr 0.000 0.000 0.500
3 Al 0.000 0.500 0.000
4 Ba 0.500 0.500 0.500
5 La 0.000 0.000 0.000

18.
Below is a geometry-optimized IrOsF3 structure, with properties calculated at the PBE level.

Properties
As for the distance to the lowest polymorph of the same formula: 0 meV/atom. The uncorrected formation energy comes out at 0.55 eV per atom.

abc: 4.177 4.177 4.177
angles: 90.00 90.00 90.00
Last column: magnetic moment on the atom in μB.
Fractional positions:
1 F 0.000 0.000 0.500  0.04
2 F 0.500 0.000 0.000  0.06
3 F 0.000 0.500 0.000  0.07
4 Os 0.000 0.000 0.000  0.84
5 Ir 0.500 0.500 0.500  1.90

19.
Below is a geometry-optimized K4FeSi structure, with properties calculated at the PBE level.

Properties
The uncorrected formation energy comes out at 1.08 eV per atom.

abc: 6.839 6.839 6.839
angles: 60.00 60.00 60.00
Last column: magnetic moment on the atom in μB.
Fractional positions:
1 K 0.376 0.376 0.376  0.00
2 K 0.873 0.376 0.376  0.00
3 K 0.376 0.873 0.376  0.00
4 K 0.376 0.376 0.873  0.00
5 Fe 0.000 0.000 0.000  3.24
6 Si 0.750 0.750 0.750  0.09

20.
Below is a geometry-optimized Si2HgRu structure, with properties calculated at the PBE level.

Properties
The uncorrected formation energy comes out at 0.05 eV per atom.

abc: 4.457 4.457 7.886
angles: 117.04 117.04 40.18
Fractional positions:
1 Ru 0.319 0.319 0.082
2 Si 0.664 0.664 0.837
3 Si 0.048 0.048 0.109
4 Hg 0.468 0.468 0.471

21.
Below is a geometry-optimized Nd6GaSi3 structure, with properties calculated at the PBE level.

Properties
The uncorrected formation energy comes out at -0.42 eV per atom.

abc: 6.188 8.401 11.096
angles: 90.00 90.55 90.00
Fractional positions:
1 Si 0.404 0.113 0.246
2 Si 0.596 0.887 0.754
3 Si 0.000 0.000 0.500
4 Si 0.904 0.387 0.746
5 Si 0.500 0.500 0.000
6 Si 0.096 0.613 0.254
7 Ga 0.000 0.000 0.000
8 Ga 0.500 0.500 0.500
9 Nd 0.374 0.830 0.426
10 Nd 0.122 0.322 0.424
11 Nd 0.126 0.330 0.074
12 Nd 0.874 0.670 0.926
13 Nd 0.135 0.053 0.748
14 Nd 0.365 0.553 0.752
15 Nd 0.635 0.447 0.248
16 Nd 0.378 0.822 0.076
17 Nd 0.622 0.178 0.924
18 Nd 0.878 0.678 0.576
19 Nd 0.865 0.947 0.252
20 Nd 0.626 0.170 0.574

22.
Below is a geometry-optimized Sr2InHgPd structure, with properties calculated at the PBE level.

Properties
For the energy of formation, the calculation gives -424 meV/atom.

abc: 5.863 5.863 5.136
angles: 90.00 90.00 90.00
Fractional positions:
1 Sr 0.500 0.000 0.000
2 Sr 0.000 0.500 0.000
3 Hg 0.500 0.500 0.500
4 In 0.000 0.000 0.500
5 Pd 0.000 0.000 0.000

23.
Below is a geometry-optimized PmHoPSe structure, with properties calculated at the PBE level.

Properties
The uncorrected formation energy comes out at -1.70 eV per atom.

abc: 4.010 4.010 7.460
angles: 90.00 105.58 120.00
Fractional positions:
1 Ho 0.488 0.142 0.645
2 Pm 0.118 0.957 0.090
3 Se 0.973 0.385 0.373
4 P 0.299 0.547 0.862

24.
Below is a geometry-optimized CsSbTeH3 structure, with properties calculated at the PBE level.

Properties
As for the distance to the lowest polymorph of the same formula: 16 meV/atom.

abc: 7.552 5.289 10.581
angles: 90.00 128.95 90.00
Fractional positions:
1 H 0.694 0.500 0.483
2 H 0.993 0.000 0.870
3 H 0.864 0.000 0.815
4 H 0.993 0.500 0.370
5 H 0.694 0.000 0.983
6 H 0.864 0.500 0.315
7 Te 0.342 0.500 0.902
8 Te 0.342 0.000 0.402
9 Cs 0.975 0.500 0.049
10 Cs 0.975 0.000 0.549
11 Sb 0.532 0.000 0.051
12 Sb 0.532 0.500 0.551